Entry 1:
10
Lattice="-2.246 0.257 -1.642 3.935 -1.728 -3.276 -2.345 -8.806 1.829" Properties=species:S:1:pos:R:3 comment="Ti2HPd2 (PBE, optimized geometry)" crystal_system=orthorhombic dft_energy_ev_per_atom=-6.206 n_ef_per_ev_cell=10.1 spacegroup=Cmc2_1 m_tot_mub_per_fu=0.3 pbc="T T T"
Ti 0.590 -1.639 -1.063
Ti -1.946 -7.752 1.448
Ti -0.676 -6.499 -2.470
Ti 0.711 -4.703 -4.085
H -2.895 -8.936 0.183
H 1.098 -5.627 -2.383
Pd 0.739 -2.170 -3.728
Pd -0.386 -8.578 -0.816
Pd -0.796 -5.857 0.171
Pd -0.821 -3.770 -1.844

Entry 2:
2
Lattice="2.632 0.000 0.000 -1.316 2.279 0.000 0.000 0.000 4.392" Properties=species:S:1:pos:R:3 comment="MnZn (PBE, optimized geometry)" crystal_system=hexagonal dft_energy_ev_per_atom=-5.042 n_ef_per_ev_cell=1.6 spacegroup=P-6m2 m_tot_mub_per_fu=2.4 pbc="T T T"
Zn 0.000 1.519 0.000
Mn 1.316 0.760 2.196

Entry 3:
8
Lattice="-0.503 4.129 6.943 6.112 -4.354 3.032 4.535 1.666 4.055" Properties=species:S:1:pos:R:3 comment="Mg2MnAs (PBE, optimized geometry)" crystal_system=tetragonal dft_energy_ev_per_atom=-4.090 n_ef_per_ev_cell=1.8 spacegroup=I-42d m_tot_mub_per_fu=4.0 pbc="T T T"
As 0.000 0.000 0.000
As 3.418 2.841 7.993
Mn 2.804 -0.113 4.987
Mn 6.725 -1.400 6.037
Mg 1.553 2.700 6.148
Mg 4.921 -2.036 3.361
Mg 5.138 1.426 6.600
Mg 8.675 0.792 11.951

Entry 4:
5
Lattice="5.347 0.000 0.000 0.000 5.347 0.000 0.000 0.000 3.095" Properties=species:S:1:pos:R:3 comment="KPHS2 (PBE, optimized geometry)" crystal_system=tetragonal dft_energy_ev_per_atom=-3.259 n_ef_per_ev_cell=1.4 spacegroup=P4/mmm m_tot_mub_per_fu=0.0 relative_energy_ev_per_fu=0.00 pbc="T T T"
P 0.000 0.000 1.547
K 2.674 2.674 1.547
S 0.000 2.674 0.000
S 2.674 0.000 0.000
H 0.000 0.000 0.000